Cu3SiSe | PBE | optimized geometry

Summary:
ΔE to the lowest computed polymorph	0	meV/atom
calculated volume	89	Å³ per cell
raw formation energy	0.581	eV/atom
space-group type	Pm-3m (221)
VASP energy	-18.292	eV/cell

POSCAR file:
```
Cu3SiSe
1.0
-1.961 1.942 -3.508
2.713 -2.232 -2.752
-2.952 -3.342 -0.200
Si Cu Se
1 3 1
Direct
0.000 0.000 0.000
0.000 0.500 0.000
0.000 0.000 0.500
0.500 0.000 0.000
0.500 0.500 0.500
```

***

CoPdSe2N | PBE | optimized geometry

Summary:
ΔE to the lowest computed polymorph	0	meV/atom
calculated volume	80	Å³ per cell
raw formation energy	0.368	eV/atom
space-group type	P4/mmm (123)
VASP energy	-25.755	eV/cell

POSCAR file:
```
CoPdSe2N
1.0
-4.590 -0.448 -1.695
1.126 -4.394 -1.890
-0.908 -1.456 2.843
Co Se Pd N
1 2 1 1
Direct
0.000 0.000 0.000
0.000 0.500 0.000
0.500 0.000 0.000
0.500 0.500 0.500
0.000 0.000 0.500
```

***

Question: Among the records above, which one has the highest VASP energy?
Answer: Cu3SiSe

***

Question: VASP energy of number 2 (CoPdSe2N)?
Answer: -25.755 eV/cell